1.
Compound: Mg4Pa3FeN8
Source: Alexandria
Functional: GGA-PBE
Structure: relaxed

Crystal system: trigonal
ΔE_f (raw) in eV/f.u.: -16.13
Fermi-level density of states in states/eV/cell: 3.771

Cell: 6.7305 6.5516 6.7320 Å, 120.91 119.99 90.00°
Site moments in Bohr magnetons follow the coordinates.
Sites, in units of the cell vectors:
Mg  0.5000  0.0000  0.0000  0.01
Mg  0.0000  0.0000  0.5000  0.00
Mg  0.0000  0.0000  0.0000  0.00
Mg  0.5000  0.0000  0.5000  0.00
Pa  0.0000  0.5000  0.5000  -0.15
Pa  0.5000  0.5000  0.5000  -0.15
Pa  0.5000  0.5000  0.0000  -0.15
N  0.7351  0.7432  0.9891  0.04
N  0.7510  0.7532  0.5021  0.01
N  0.2540  0.7432  0.9891  0.04
N  0.2649  0.2568  0.0109  0.04
N  0.2541  0.7434  0.5083  0.04
N  0.2490  0.2468  0.4979  0.01
N  0.7459  0.2566  0.4917  0.04
N  0.7460  0.2568  0.0109  0.04
Fe  0.0000  0.5000  0.0000  3.16

=====

2.
Compound: SrLi2Y2
Source: Alexandria
Functional: GGA-PBE
Structure: relaxed

Crystal system: tetragonal
DFT formation energy in meV/atom: 293
Offset from the most stable computed form in kJ/mol of formula units: 33
Fermi-level density of states in states/eV/cell: 5.610

Cell: 3.6936 3.6936 11.7015 Å, 80.92 80.92 90.00°
Site moments in Bohr magnetons follow the coordinates.
Sites, in units of the cell vectors:
Li  0.7500  0.2500  0.5000  0.00
Li  0.2500  0.7500  0.5000  0.00
Y  0.6288  0.6288  0.7424  0.21
Y  0.3712  0.3712  0.2576  0.21
Sr  0.0000  0.0000  0.0000  0.03

=====

3.
Compound: AlReHg2
Source: Alexandria
Functional: GGA-PBE
Structure: relaxed

Crystal system: monoclinic
DFT formation energy in meV/atom: 437
Fermi-level density of states in states/eV/cell: 2.391

Cell: 4.0413 2.8190 7.3472 Å, 67.26 90.00 90.00°
Sites, in units of the cell vectors:
Re  0.0000  0.4421  0.5586
Hg  0.5000  0.2302  0.2716
Hg  0.0000  0.0132  0.9851
Al  0.5000  0.8145  0.6846

=====

4.
Compound: SrCdIn4
Source: Alexandria
Functional: GGA-PBE
Structure: relaxed

Crystal system: monoclinic
DFT formation energy in meV/atom: -167
Offset from the most stable computed form in kJ/mol of formula units: 35
Fermi-level density of states in states/eV/cell: 4.692

Cell: 5.7453 5.7454 11.0997 Å, 105.00 105.01 89.90°
Sites, in units of the cell vectors:
In  0.5769  0.5763  0.6516
In  0.4231  0.4237  0.3484
In  0.1470  0.6465  0.7912
In  0.6454  0.1464  0.7912
In  0.3546  0.8536  0.2088
In  0.0757  0.0764  0.6517
In  0.8530  0.3535  0.2088
In  0.9243  0.9236  0.3483
Sr  0.2496  0.2501  0.0000
Sr  0.7504  0.7499  0.0000
Cd  0.5000  0.0000  0.5000
Cd  0.0000  0.5000  0.5000

=====

5.
Compound: Zr2TaW
Source: Alexandria
Functional: GGA-PBE
Structure: relaxed

Crystal system: tetragonal
DFT formation energy in meV/atom: 277
Offset from the most stable computed form in kJ/mol of formula units: 84
Fermi-level density of states in states/eV/cell: 6.335

Cell: 5.6819 5.6819 5.6819 Å, 138.80 138.80 59.68°
Sites, in units of the cell vectors:
Ta  0.7500  0.2500  0.5000
Zr  0.5000  0.5000  0.0000
Zr  0.0000  0.0000  0.0000
W  0.2500  0.7500  0.5000

=====

6.
Compound: La4Sm6Dy
Source: Alexandria
Functional: GGA-PBE
Structure: relaxed

Crystal system: tetragonal
DFT formation energy in meV/atom: 274
Offset from the most stable computed form in kJ/mol of formula units: 0
Fermi-level density of states in states/eV/cell: 16.776

Cell: 9.6893 9.6893 9.6893 Å, 60.37 138.35 138.35°
Sites, in units of the cell vectors:
La  0.6206  0.9887  0.9887
La  0.0000  0.6319  0.0113
La  0.3794  0.3681  0.3681
La  0.0000  0.0113  0.6319
Dy  0.0000  0.0000  0.0000
Sm  0.5000  0.0000  0.5000
Sm  0.0000  0.7853  0.4431
Sm  0.5000  0.5000  0.0000
Sm  0.6577  0.2147  0.2147
Sm  0.3423  0.5569  0.5569
Sm  0.0000  0.4431  0.7853

=====

7.
Compound: AlSiRu
Source: Alexandria
Functional: GGA-PBE
Structure: relaxed

Crystal system: cubic
ΔE_f (raw) in eV/f.u.: -0.54
Fermi-level density of states in states/eV/cell: 2.953

Cell: 4.0305 4.0305 4.0305 Å, 60.00 60.00 60.00°
Sites, in units of the cell vectors:
Si  0.7500  0.7500  0.7500
Al  0.0000  0.0000  0.0000
Ru  0.5000  0.5000  0.5000

=====

8.
Compound: MnAlP2
Source: Alexandria
Functional: GGA-PBE
Structure: relaxed

Crystal system: tetragonal
DFT formation energy in meV/atom: -217
Fermi-level density of states in states/eV/cell: 2.383

Cell: 5.4840 5.4840 6.7039 Å, 65.86 65.86 90.00°
Site moments in Bohr magnetons follow the coordinates.
Sites, in units of the cell vectors:
P  0.1209  0.6250  0.2500  -0.07
P  0.8750  0.8791  0.7500  -0.07
P  0.6291  0.1250  0.2500  -0.06
P  0.3750  0.3709  0.7500  -0.06
Al  0.2500  0.7500  0.5000  0.05
Al  0.5000  0.5000  0.0000  0.05
Mn  0.7500  0.2500  0.5000  3.58
Mn  0.0000  0.0000  0.0000  3.59

=====

9.
Compound: In2RhI
Source: Alexandria
Functional: GGA-PBE
Structure: relaxed

Crystal system: cubic
ΔE_f (raw) in eV/f.u.: 2.14
Offset from the most stable computed form in kJ/mol of formula units: 179
Fermi-level density of states in states/eV/cell: 4.917

Cell: 5.2008 5.2008 5.2008 Å, 60.00 60.00 60.00°
Sites, in units of the cell vectors:
In  0.2500  0.2500  0.2500
In  0.7500  0.7500  0.7500
I  0.5000  0.5000  0.5000
Rh  0.0000  0.0000  0.0000

=====

10.
Compound: AcLaPb
Source: Alexandria
Functional: GGA-PBE
Structure: relaxed

Crystal system: tetragonal
DFT formation energy in meV/atom: -365
Offset from the most stable computed form in kJ/mol of formula units: 26
Fermi-level density of states in states/eV/cell: 3.530

Cell: 4.4022 4.4022 6.1954 Å, 110.81 110.81 90.00°
Sites, in units of the cell vectors:
Ac  0.2743  0.2743  0.5486
La  0.9638  0.9638  0.9276
Pb  0.6119  0.6119  0.2237

=====

11.
Compound: TmPaFe2
Source: Alexandria
Functional: GGA-PBE
Structure: relaxed

Crystal system: tetragonal
DFT formation energy in meV/atom: -92
Offset from the most stable computed form in kJ/mol of formula units: 0
Fermi-level density of states in states/eV/cell: 3.852

Cell: 3.2955 3.2955 6.6836 Å, 90.00 90.00 90.00°
Site moments in Bohr magnetons follow the coordinates.
Sites, in units of the cell vectors:
Fe  0.0000  0.0000  0.2083  0.76
Fe  0.0000  0.0000  0.7917  0.76
Tm  0.5000  0.5000  0.5000  -0.13
Pa  0.5000  0.5000  0.0000  -0.41

=====

12.
Compound: TaMo2Se
Source: Alexandria
Functional: GGA-PBE
Structure: relaxed

Crystal system: tetragonal
ΔE_f (raw) in eV/f.u.: 1.19
Fermi-level density of states in states/eV/cell: 3.795

Cell: 5.3642 5.3642 5.3642 Å, 139.01 139.01 59.36°
Site moments in Bohr magnetons follow the coordinates.
Sites, in units of the cell vectors:
Ta  0.7500  0.2500  0.5000  0.00
Se  0.5000  0.5000  0.0000  0.00
Mo  0.0000  0.0000  0.0000  0.28
Mo  0.2500  0.7500  0.5000  -0.01

=====

| no. | electronic total energy (eV per atom) | V (A^3/atom) |
| --- | --- | --- |
| 1 | -7.88 | 12.9 |
| 2 | -3.39 | 31.1 |
| 3 | -3.76 | 19.3 |
| 4 | -2.43 | 28.4 |
| 5 | -10.20 | 19.7 |
| 6 | -4.51 | 36.1 |
| 7 | -6.33 | 15.4 |
| 8 | -6.15 | 20.6 |
| 9 | -3.06 | 24.9 |
| 10 | -4.61 | 34.6 |
| 11 | -7.81 | 18.1 |
| 12 | -8.95 | 16.4 |